Density functional theory data (PBE) for a geometry-optimized MgFePd3 structure.

Lattice parameters (Å, degrees): 4.627 4.627 4.627 90.00 90.00 90.00
Last column: magnetic moment on the atom in μB.
Sites, in units of the cell vectors:
Pd 0.000 0.500 0.000  0.30
Pd 0.000 0.000 0.500  0.50
Pd 0.500 0.000 0.000  0.11
Fe 0.000 0.000 0.000  3.11
Mg 0.500 0.500 0.500  0.01

Values from the calculation:
Energy relative to the lowest polymorph listed for this composition in meV per atom: 0.0
ΔE_f in eV per atom: 0.374
Calculated density in g/cm³: 6.70
D(E_F) in states/eV/cell: 3.018
Energy in eV/cell: -23.8

Density functional theory data (PBE) for a geometry-optimized Ba4OF6 structure.

Lattice parameters (Å, degrees): 8.813 8.813 6.338 90.00 90.00 90.00
Last column: magnetic moment on the atom in μB.
Sites, in units of the cell vectors:
O 0.000 0.000 0.500  0.10
O 0.500 0.500 0.000  0.10
F 0.779 0.221 0.000  0.00
F 0.721 0.721 0.500  0.00
F 0.000 0.500 0.535  0.00
F 0.221 0.779 0.000  0.00
F 0.721 0.279 0.500  0.00
F 0.221 0.221 0.000  0.00
F 0.000 0.500 0.035  0.00
F 0.279 0.721 0.500  0.00
F 0.500 0.000 0.465  0.00
F 0.779 0.779 0.000  0.00
F 0.500 0.000 0.965  0.00
F 0.279 0.279 0.500  0.00
Ba 0.754 0.500 0.795  0.00
Ba 0.746 0.000 0.705  0.00
Ba 0.500 0.754 0.205  0.00
Ba 0.246 0.500 0.795  0.00
Ba 0.000 0.254 0.295  0.00
Ba 0.000 0.746 0.295  0.00
Ba 0.500 0.246 0.205  0.00
Ba 0.254 0.000 0.705  0.00

Values from the calculation:
Energy relative to the lowest polymorph listed for this composition in meV per atom: 0.0
Uncorrected formation energy in kJ/mol of formula units: -3832
Calculated density in g/cm³: 4.58
D(E_F) in states/eV/cell: 0.000
Energy in eV/cell: -127.2

Density functional theory data (PBE) for a geometry-optimized Pm9NdSm2 structure.

Lattice parameters (Å, degrees): 5.155 5.155 15.468 90.00 90.00 90.00
Sites, in units of the cell vectors:
Pm 0.000 0.500 0.500
Pm 0.000 0.500 0.167
Pm 0.500 0.500 0.666
Pm 0.500 0.000 0.167
Pm 0.500 0.500 0.334
Pm 0.500 0.000 0.833
Pm 0.000 0.500 0.833
Pm 0.500 0.500 0.000
Pm 0.500 0.000 0.500
Nd 0.000 0.000 0.000
Sm 0.000 0.000 0.334
Sm 0.000 0.000 0.666

Values from the calculation:
Energy relative to the lowest polymorph listed for this composition in meV per atom: 0.0
ΔE_f in eV per atom: 0.015
Calculated density in g/cm³: 7.07
D(E_F) in states/eV/cell: 19.671
Energy in eV/cell: -56.8